Computed, not measured: a relaxed structure of MgRuCl2 at the PBE level of DFT.

The space group is P4mm (No. 99) and the conventional cell measures 3.108, 3.108 and 8.560 Å, with angles of 90.00, 90.00 and 90.00 degrees. The inequivalent atoms are Mg at (0.000, 0.000, 0.000), Ru at (0.500, 0.500, 0.238), Cl at (0.000, 0.000, 0.405) and Cl at (0.500, 0.500, 0.834).

Its formation energy (no corrections) is -0.308 eV per atom. Its spin magnetization is 2.010 μB per formula unit. Its electronic total energy is -15.80 eV/f.u.